VASP calculation (PBE) on TbPmNd after structural relaxation.

Structure (POSCAR):
```
TbPmNd
1.0
5.152 0.000 0.000
0.000 6.690 -2.789
-2.576 -2.944 7.115
Nd Tb Pm
2 2 2
Cartesian
2.576 3.345 -1.395
2.576 0.000 0.000
2.576 4.728 1.941
0.000 -0.982 2.385
2.576 1.379 3.350
0.000 2.367 0.975
```

Output
formation energy: 0.014 eV per atom
total DFT energy (no corrections): -4.70 eV/atom
polymorph energy (0 for the lowest one): 0.069 eV per atom
SG: No. 12

=====

VASP calculation (PBE) on Tb3PmNd2 after structural relaxation.

Structure (POSCAR):
```
Tb3PmNd2
1.0
5.631 0.000 0.000
-2.816 8.476 -1.198
0.000 -4.538 9.115
Pm Tb Nd
2 6 4
Cartesian
0.000 1.635 0.958
2.816 2.303 6.959
0.000 -0.954 3.500
0.000 5.018 2.198
0.000 2.381 4.555
2.816 -1.080 5.720
2.816 1.557 3.362
2.816 4.892 4.417
0.000 7.619 0.084
0.000 -0.104 7.394
2.816 4.042 0.523
2.816 -3.681 7.833
```

Output
formation energy: 0.098 eV per atom
total DFT energy (no corrections): -4.60 eV/atom
polymorph energy (0 for the lowest one): 0.000 eV per atom
SG: No. 12

=====

VASP calculation (PBE) on Tb4PmNd7 after structural relaxation.

Structure (POSCAR):
```
Tb4PmNd7
1.0
6.524 -1.875 2.782
0.726 5.892 2.265
2.873 -2.322 11.046
Tb Nd Pm
4 7 1
Cartesian
7.923 1.488 11.438
4.181 2.704 6.468
2.200 0.207 4.655
5.941 -1.009 9.625
5.236 1.545 3.224
4.658 2.410 10.048
5.465 -0.715 6.045
3.262 -0.938 1.391
4.887 0.151 12.869
2.657 -0.053 8.213
7.466 1.749 7.880
0.000 0.000 0.000
```

Output
formation energy: 0.004 eV per atom
total DFT energy (no corrections): -4.72 eV/atom
polymorph energy (0 for the lowest one): 0.000 eV per atom
SG: No. 2